Density functional theory data (PBE-GGA) for a geometry-optimized Be5Ir4 structure.

The value obtained for the formation energy is -0.367 eV per atom. As for the offset from the most stable computed form: 0.000 eV per atom. The density of states at the Fermi level is 6.0 states/eV/cell. The calculated total energy is -6.375 eV/atom. For the spin magnetization, the calculation gives 0.00 μB/f.u.

Cell: 6.8182 6.8182 4.9854 Å, 90.00 90.00 120.00°
Space group P6_3/mcm (No. 193)
Symmetry-distinct sites (fractional):
Be 0.0000 0.2997 0.2500 (multiplicity 6)
Be 0.3333 0.6667 0.0000 (multiplicity 4)
Ir 0.0000 0.0000 0.0000 (multiplicity 2)
Ir 0.0000 0.3719 0.7500 (multiplicity 6)

Density functional theory data (PBE-GGA) for a geometry-optimized CaTl3Ge structure.

The value obtained for the formation energy is 0.163 eV per atom. As for the offset from the most stable computed form: 0.000 eV per atom. The density of states at the Fermi level is 3.1 states/eV/cell. The calculated total energy is -2.580 eV/atom. For the spin magnetization, the calculation gives 0.00 μB/f.u.

Cell: 5.5614 5.5614 5.5614 Å, 90.00 90.00 90.00°
Space group Pm-3m (No. 221)
Symmetry-distinct sites (fractional):
Ca 0.0000 0.0000 0.0000 (multiplicity 1)
Tl 0.0000 0.5000 0.5000 (multiplicity 3)
Ge 0.5000 0.5000 0.5000 (multiplicity 1)

Density functional theory data (PBE-GGA) for a geometry-optimized Na3Np3CoS8 structure.

Its formation energy (no corrections) is -1.121 eV/atom. The density of states at the Fermi level is 82.3 states/eV/cell. The calculated total energy is -6.648 eV/atom. For the spin magnetization, the calculation gives 10.97 μB/f.u.

Cell: 7.6629 7.6629 20.3916 Å, 90.00 90.00 120.00°
Space group R-3m (No. 166, hexagonal axes)
Symmetry-distinct sites (fractional):
Na 0.0000 0.5000 0.0000 (multiplicity 9)
Np 0.0000 0.5000 0.5000 (multiplicity 9)
Co 0.0000 0.0000 0.5000 (multiplicity 3)
S 0.0000 0.0000 0.2442 (multiplicity 6)
S 0.0274 0.5137 0.2352 (multiplicity 18)

Density functional theory data (PBE-GGA) for a geometry-optimized CrHgSCl2 structure.

Its formation energy (no corrections) is -0.346 eV/atom. As for the offset from the most stable computed form: 0.000 eV per atom. The density of states at the Fermi level is 3.1 states/eV/cell. The calculated total energy is -3.895 eV/atom. For the spin magnetization, the calculation gives 2.45 μB/f.u.

Cell: 4.8424 4.8424 4.6697 Å, 90.00 90.00 90.00°
Space group P4/mmm (No. 123)
Symmetry-distinct sites (fractional):
Cr 0.0000 0.0000 0.0000 (multiplicity 1)
Hg 0.5000 0.5000 0.5000 (multiplicity 1)
S 0.0000 0.0000 0.5000 (multiplicity 1)
Cl 0.0000 0.5000 0.0000 (multiplicity 2)

Density functional theory data (PBE-GGA) for a geometry-optimized Pm8Si3CI4 structure.

Its formation energy (no corrections) is -0.868 eV/atom. The density of states at the Fermi level is 22.5 states/eV/cell. The calculated total energy is -5.225 eV/atom. For the spin magnetization, the calculation gives 0.00 μB/f.u.

Cell: 8.3890 8.3890 23.1290 Å, 90.00 90.00 120.00°
Space group R-3m (No. 166, hexagonal axes)
Symmetry-distinct sites (fractional):
Pm 0.0000 0.0000 0.2327 (multiplicity 6)
Pm 0.0269 0.5135 0.2284 (multiplicity 18)
Si 0.0000 0.5000 0.5000 (multiplicity 9)
C 0.0000 0.0000 0.5000 (multiplicity 3)
I 0.0000 0.0000 0.0000 (multiplicity 3)
I 0.0000 0.5000 0.0000 (multiplicity 9)

Density functional theory data (PBE-GGA) for a geometry-optimized ZnPBr2 structure.

Its formation energy (no corrections) is 0.343 eV/atom. As for the offset from the most stable computed form: 0.610 eV per atom. The density of states at the Fermi level is 5.2 states/eV/cell. The calculated total energy is -2.164 eV/atom. For the spin magnetization, the calculation gives 0.00 μB/f.u.

Cell: 3.7873 3.7873 14.0735 Å, 90.00 90.00 90.00°
Space group I-4m2 (No. 119)
Symmetry-distinct sites (fractional):
Zn 0.0000 0.0000 0.0000 (multiplicity 2)
P 0.0000 0.5000 0.2500 (multiplicity 2)
Br 0.0000 0.0000 0.5000 (multiplicity 2)
Br 0.0000 0.5000 0.7500 (multiplicity 2)